(1)
Compound: HgSbSe2
Source: Alexandria
Functional: PBE-GGA
Structure: relaxed

Geometry as POSCAR:
```
HgSbSe2
1.0
3.628 0.000 0.000
0.000 3.628 0.000
0.000 0.000 7.318
Hg Sb Se
1 1 2
Direct
0.000 0.000 0.000 Hg
0.000 0.000 0.500 Sb
0.500 0.500 0.270 Se
0.500 0.500 0.730 Se
```

Summary:
DOS(E_F) ... 2.2 states/eV/cell
Crystal system ... tetragonal
Distance to the lowest polymorph of the same formula ... 1.09 eV per formula unit
Uncorrected formation energy ... 0.484 eV/f.u.

---

(2)
Compound: Ca3VBr8
Source: Alexandria
Functional: PBE-GGA
Structure: relaxed

Geometry as POSCAR:
```
Ca3VBr8
1.0
7.194 -4.154 0.000
7.194 4.154 0.000
-4.840 0.000 6.962
Ca V Br
3 1 8
Direct
0.000 0.000 0.000 Ca
0.000 0.500 0.000 Ca
0.500 0.000 0.000 Ca
0.500 0.500 0.000 V
0.244 0.244 0.231 Br
0.266 0.728 0.220 Br
0.272 0.272 0.780 Br
0.272 0.734 0.780 Br
0.728 0.266 0.220 Br
0.728 0.728 0.220 Br
0.734 0.272 0.780 Br
0.756 0.756 0.769 Br
```

Summary:
Crystal system ... monoclinic
Uncorrected formation energy ... -20.600 eV/f.u.

---

(3)
Compound: Nd2Sm3Dy2
Source: Alexandria
Functional: PBE-GGA
Structure: relaxed

Geometry as POSCAR:
```
Nd2Sm3Dy2
1.0
3.623 0.000 0.000
-1.796 5.985 0.000
-0.009 -1.086 10.807
Nd Sm Dy
2 3 2
Direct
0.216 0.431 0.356 Nd
0.784 0.569 0.644 Nd
0.357 0.715 0.930 Sm
0.500 0.000 0.500 Sm
0.643 0.285 0.070 Sm
0.071 0.141 0.787 Dy
0.929 0.859 0.213 Dy
```

Summary:
DOS(E_F) ... 9.2 states/eV/cell
Crystal system ... triclinic
Formation enthalpy at 0 K ... 0.015 eV per atom
Distance to the lowest polymorph of the same formula ... 0.00 eV per formula unit

---

(4)
Compound: Hf2Tl2Ag
Source: Alexandria
Functional: PBE-GGA
Structure: relaxed

Geometry as POSCAR:
```
Hf2Tl2Ag
1.0
7.249 0.000 0.000
0.000 7.249 0.000
0.000 0.000 4.300
Hf Tl Ag
4 4 2
Direct
0.162 0.338 0.000 Hf
0.338 0.838 0.000 Hf
0.662 0.162 0.000 Hf
0.838 0.662 0.000 Hf
0.143 0.643 0.500 Tl
0.357 0.143 0.500 Tl
0.643 0.857 0.500 Tl
0.857 0.357 0.500 Tl
0.000 0.000 0.500 Ag
0.500 0.500 0.500 Ag
```

Summary:
DOS(E_F) ... 7.0 states/eV/cell
Crystal system ... tetragonal
Formation enthalpy at 0 K ... 0.292 eV per atom
Distance to the lowest polymorph of the same formula ... 0.00 eV per formula unit

---

(5)
Compound: CaTaOsO6
Source: Alexandria
Functional: PBE-GGA
Structure: relaxed

Geometry as POSCAR:
```
CaTaOsO6
1.0
4.885 0.000 0.000
0.000 4.885 0.000
0.000 0.000 9.560
Ca Ta Os O
2 2 2 12
Direct
0.000 0.000 0.000 Ca
0.500 0.500 0.500 Ca
0.000 0.000 0.667 Ta
0.500 0.500 0.167 Ta
0.000 0.000 0.329 Os
0.500 0.500 0.829 Os
0.173 0.173 0.494 O
0.210 0.210 0.188 O
0.214 0.214 0.806 O
0.286 0.714 0.306 O
0.290 0.710 0.688 O
0.327 0.673 0.994 O
0.673 0.327 0.994 O
0.710 0.290 0.688 O
0.714 0.286 0.306 O
0.786 0.786 0.806 O
0.790 0.790 0.188 O
0.827 0.827 0.494 O
```

Summary:
DOS(E_F) ... 3.8 states/eV/cell
Crystal system ... tetragonal
Uncorrected formation energy ... -19.212 eV/f.u.

---

(6)
Compound: NaPrCdIn
Source: Alexandria
Functional: PBE-GGA
Structure: relaxed

Geometry as POSCAR:
```
NaPrCdIn
1.0
0.000 3.798 3.798
3.798 0.000 3.798
3.798 3.798 0.000
Na Pr Cd In
1 1 1 1
Direct
0.000 0.000 0.000 Na
0.500 0.500 0.500 Pr
0.750 0.750 0.750 Cd
0.250 0.250 0.250 In
```

Summary:
DOS(E_F) ... 2.3 states/eV/cell
Crystal system ... cubic
Formation enthalpy at 0 K ... -0.270 eV per atom

---

(7)
Compound: HfSb2Br
Source: Alexandria
Functional: PBE-GGA
Structure: relaxed

Geometry as POSCAR:
```
HfSb2Br
1.0
-2.177 2.177 11.213
2.177 -2.177 11.213
2.177 2.177 -11.213
Hf Sb Br
2 4 2
Direct
0.000 0.000 0.000 Hf
0.750 0.250 0.500 Hf
0.088 0.625 0.963 Sb
0.375 0.338 0.463 Sb
0.662 0.125 0.037 Sb
0.875 0.912 0.537 Sb
0.250 0.750 0.500 Br
0.500 0.500 0.000 Br
```

Summary:
DOS(E_F) ... 6.8 states/eV/cell
Crystal system ... tetragonal
Distance to the lowest polymorph of the same formula ... 0.00 eV per formula unit
Uncorrected formation energy ... 0.611 eV/f.u.

---

(8)
Compound: RbTl2GaSb
Source: Alexandria
Functional: PBE-GGA
Structure: relaxed

Geometry as POSCAR:
```
RbTl2GaSb
1.0
5.765 0.000 0.000
0.000 5.765 0.000
0.000 0.000 5.502
Rb Tl Ga Sb
1 2 1 1
Direct
0.000 0.000 0.000 Rb
0.000 0.500 0.500 Tl
0.500 0.000 0.500 Tl
0.500 0.500 0.500 Ga
0.500 0.500 0.000 Sb
```

Summary:
DOS(E_F) ... 2.1 states/eV/cell
Crystal system ... tetragonal
Uncorrected formation energy ... 0.016 eV/f.u.

---

(9)
Compound: TaCuP4
Source: Alexandria
Functional: PBE-GGA
Structure: relaxed

Geometry as POSCAR:
```
TaCuP4
1.0
0.000 3.497 3.497
3.497 0.000 3.497
3.497 3.497 0.000
Ta Cu P
1 1 4
Direct
0.000 0.000 0.000 Ta
0.750 0.750 0.750 Cu
0.374 0.374 0.374 P
0.374 0.374 0.877 P
0.374 0.877 0.374 P
0.877 0.374 0.374 P
```

Summary:
DOS(E_F) ... 3.1 states/eV/cell
Crystal system ... cubic
Formation enthalpy at 0 K ... 0.560 eV per atom

---

(10)
Compound: LiAg2HPt
Source: Alexandria
Functional: PBE-GGA
Structure: relaxed

Geometry as POSCAR:
```
LiAg2HPt
1.0
4.301 0.000 0.000
0.000 4.301 0.000
0.000 0.000 3.723
Li Ag H Pt
1 2 1 1
Direct
0.000 0.000 0.000 Li
0.000 0.500 0.500 Ag
0.500 0.000 0.500 Ag
0.500 0.500 0.500 H
0.500 0.500 0.000 Pt
```

Summary:
DOS(E_F) ... 0.8 states/eV/cell
Crystal system ... tetragonal
Electronic total energy ... -17.6 eV per cell

---

(11)
Compound: Sn4P
Source: Alexandria
Functional: PBE-GGA
Structure: relaxed

Geometry as POSCAR:
```
Sn4P
1.0
5.245 0.000 0.000
0.000 5.245 0.000
0.000 0.000 5.245
Sn P
4 1
Direct
0.000 0.000 0.000 Sn
0.000 0.500 0.500 Sn
0.500 0.000 0.500 Sn
0.500 0.500 0.000 Sn
0.500 0.500 0.500 P
```

Summary:
DOS(E_F) ... 2.9 states/eV/cell
Crystal system ... cubic
Formation enthalpy at 0 K ... 0.328 eV per atom

---

(12)
Compound: HOsPd2
Source: Alexandria
Functional: PBE-GGA
Structure: relaxed

Geometry as POSCAR:
```
HOsPd2
1.0
-2.993 2.993 2.761
2.993 -2.993 2.761
2.993 2.993 -2.761
H Os Pd
2 2 4
Direct
0.000 0.000 0.000 H
0.750 0.250 0.500 H
0.250 0.750 0.500 Os
0.500 0.500 0.000 Os
0.020 0.125 0.395 Pd
0.375 0.980 0.105 Pd
0.730 0.625 0.605 Pd
0.875 0.270 0.895 Pd
```

Summary:
DOS(E_F) ... 9.7 states/eV/cell
Crystal system ... tetragonal
Distance to the lowest polymorph of the same formula ... 0.68 eV per formula unit

---

(13)
Compound: Pr3Nd2DySe6
Source: Alexandria
Functional: PBE-GGA
Structure: relaxed

Geometry as POSCAR:
```
Pr3Nd2DySe6
1.0
9.204 -2.099 0.000
9.204 2.099 0.000
-1.988 0.000 8.271
Pr Nd Dy Se
3 2 1 6
Direct
0.000 0.000 0.000 Pr
0.330 0.330 0.666 Pr
0.670 0.670 0.334 Pr
0.332 0.332 0.165 Nd
0.668 0.668 0.835 Nd
0.000 0.000 0.500 Dy
0.161 0.161 0.582 Se
0.167 0.167 0.081 Se
0.500 0.500 0.262 Se
0.500 0.500 0.738 Se
0.833 0.833 0.919 Se
0.839 0.839 0.418 Se
```

Summary:
DOS(E_F) ... 5.8 states/eV/cell
Crystal system ... monoclinic
Uncorrected formation energy ... -21.919 eV/f.u.

---

(14)
Compound: CsB5H8O12
Source: Alexandria
Functional: PBE-GGA
Structure: relaxed

Geometry as POSCAR:
```
CsB5H8O12
1.0
11.698 0.000 0.000
0.000 7.256 0.000
-0.091 0.000 14.222
Cs B H O
4 20 32 48
Direct
0.248 0.210 0.407 Cs
0.248 0.290 0.907 Cs
0.752 0.710 0.093 Cs
0.752 0.790 0.593 Cs
0.058 0.697 0.568 B
0.058 0.803 0.068 B
0.068 0.662 0.736 B
0.068 0.838 0.236 B
0.251 0.679 0.646 B
0.251 0.821 0.146 B
0.432 0.002 0.130 B
0.432 0.498 0.630 B
0.445 0.672 0.142 B
0.445 0.828 0.642 B
0.555 0.172 0.358 B
0.555 0.328 0.858 B
0.568 0.502 0.370 B
0.568 0.998 0.870 B
0.749 0.179 0.854 B
0.749 0.321 0.354 B
0.932 0.162 0.764 B
0.932 0.338 0.264 B
0.942 0.197 0.932 B
0.942 0.303 0.432 B
0.017 0.735 0.932 H
0.017 0.765 0.432 H
0.074 0.151 0.686 H
0.074 0.349 0.186 H
0.245 0.681 0.451 H
0.245 0.819 0.951 H
0.249 0.714 0.339 H
0.249 0.786 0.839 H
0.251 0.219 0.166 H
0.251 0.281 0.666 H
0.259 0.059 0.675 H
0.259 0.441 0.175 H
0.427 0.657 0.388 H
0.427 0.843 0.888 H
0.485 0.101 0.638 H
0.485 0.399 0.138 H
0.515 0.601 0.862 H
0.515 0.899 0.362 H
0.573 0.157 0.112 H
0.573 0.343 0.612 H
0.741 0.559 0.825 H
0.741 0.941 0.325 H
0.749 0.719 0.334 H
0.749 0.781 0.834 H
0.751 0.214 0.161 H
0.751 0.286 0.661 H
0.755 0.181 0.049 H
0.755 0.319 0.549 H
0.926 0.651 0.814 H
0.926 0.849 0.314 H
0.983 0.235 0.568 H
0.983 0.265 0.068 H
0.004 0.667 0.653 O
0.004 0.833 0.153 O
0.012 0.647 0.820 O
0.012 0.853 0.320 O
0.014 0.227 0.006 O
0.014 0.273 0.506 O
0.175 0.701 0.562 O
0.175 0.799 0.062 O
0.185 0.673 0.735 O
0.185 0.827 0.235 O
0.213 0.170 0.692 O
0.213 0.330 0.192 O
0.287 0.650 0.393 O
0.287 0.850 0.893 O
0.316 0.503 0.636 O
0.316 0.997 0.136 O
0.328 0.658 0.150 O
0.328 0.842 0.650 O
0.483 0.025 0.359 O
0.483 0.475 0.859 O
0.487 0.168 0.118 O
0.487 0.332 0.618 O
0.498 0.657 0.633 O
0.498 0.843 0.133 O
0.502 0.157 0.867 O
0.502 0.343 0.367 O
0.513 0.668 0.382 O
0.513 0.832 0.882 O
0.517 0.525 0.141 O
0.517 0.975 0.641 O
0.672 0.158 0.350 O
0.672 0.342 0.850 O
0.684 0.003 0.864 O
0.684 0.497 0.364 O
0.713 0.150 0.107 O
0.713 0.350 0.607 O
0.787 0.670 0.808 O
0.787 0.830 0.308 O
0.815 0.173 0.765 O
0.815 0.327 0.265 O
0.825 0.201 0.938 O
0.825 0.299 0.438 O
0.986 0.727 0.494 O
0.986 0.773 0.994 O
0.988 0.147 0.680 O
0.988 0.353 0.180 O
0.996 0.167 0.847 O
0.996 0.333 0.347 O
```

Summary:
DOS(E_F) ... 0.0 states/eV/cell
Crystal system ... monoclinic
Electronic total energy ... -671.4 eV per cell

---

(15)
Compound: Ge4OsRh2
Source: Alexandria
Functional: PBE-GGA
Structure: relaxed

Geometry as POSCAR:
```
Ge4OsRh2
1.0
6.407 -1.597 0.000
6.407 1.597 0.000
-2.743 0.000 5.948
Ge Os Rh
4 1 2
Direct
0.099 0.099 0.314 Ge
0.348 0.348 0.140 Ge
0.652 0.652 0.860 Ge
0.901 0.901 0.686 Ge
0.500 0.500 0.000 Os
0.243 0.243 0.694 Rh
0.757 0.757 0.306 Rh
```

Summary:
DOS(E_F) ... 4.0 states/eV/cell
Crystal system ... monoclinic
Formation enthalpy at 0 K ... -0.266 eV per atom

---

(16)
Compound: IrBrCl
Source: Alexandria
Functional: PBE-GGA
Structure: relaxed

Geometry as POSCAR:
```
IrBrCl
1.0
0.000 3.815 6.868
1.789 0.000 6.868
1.789 3.815 0.000
Ir Br Cl
1 1 1
Direct
0.000 0.000 0.000 Ir
0.619 0.619 0.381 Br
0.390 0.390 0.610 Cl
```

Summary:
DOS(E_F) ... 2.8 states/eV/cell
Crystal system ... orthorhombic
Distance to the lowest polymorph of the same formula ... 0.00 eV per formula unit
Uncorrected formation energy ... 0.521 eV/f.u.

---

(17)
Compound: Ac4PSe2Br
Source: Alexandria
Functional: PBE-GGA
Structure: relaxed

Geometry as POSCAR:
```
Ac4PSe2Br
1.0
7.724 0.000 0.000
0.000 4.453 0.000
-2.563 0.000 7.337
Ac P Se Br
4 1 2 1
Direct
0.241 0.000 0.229 Ac
0.254 0.500 0.771 Ac
0.746 0.500 0.229 Ac
0.759 0.000 0.771 Ac
0.000 0.500 0.000 P
0.500 0.000 0.000 Se
0.500 0.500 0.500 Se
0.000 0.000 0.500 Br
```

Summary:
DOS(E_F) ... 4.0 states/eV/cell
Crystal system ... monoclinic
Uncorrected formation energy ... -13.022 eV/f.u.

---

(18)
Compound: Sm8GaCu2
Source: Alexandria
Functional: PBE-GGA
Structure: relaxed

Geometry as POSCAR:
```
Sm8GaCu2
1.0
4.359 -6.848 0.000
4.359 6.848 0.000
-1.670 0.000 5.213
Sm Ga Cu
8 1 2
Direct
0.000 0.000 0.000 Sm
0.062 0.306 0.604 Sm
0.153 0.621 0.188 Sm
0.306 0.062 0.604 Sm
0.468 0.712 0.771 Sm
0.621 0.153 0.188 Sm
0.712 0.468 0.771 Sm
0.774 0.774 0.376 Sm
0.387 0.387 0.190 Ga
0.079 0.695 0.688 Cu
0.695 0.079 0.688 Cu
```

Summary:
DOS(E_F) ... 15.3 states/eV/cell
Crystal system ... monoclinic
Formation enthalpy at 0 K ... -0.046 eV per atom

---

(19)
Compound: ScWCl2
Source: Alexandria
Functional: PBE-GGA
Structure: relaxed

Geometry as POSCAR:
```
ScWCl2
1.0
4.642 -1.538 0.000
4.642 1.538 0.000
-3.121 0.000 6.527
Sc W Cl
1 1 2
Direct
0.000 0.000 0.000 Sc
0.783 0.783 0.171 W
0.230 0.230 0.863 Cl
0.368 0.368 0.461 Cl
```

Summary:
DOS(E_F) ... 1.4 states/eV/cell
Crystal system ... monoclinic
Distance to the lowest polymorph of the same formula ... 1.14 eV per formula unit
Uncorrected formation energy ... -0.736 eV/f.u.